Entry 1:
# Na4ClOF, relaxed, DFT GGA-PBE
# **V**: 18.85 A^3/atom
# **Uncorrected energy**: -51.7 eV/cell
data_Na4ClOF
_cell_length_a 4.426
_cell_length_b 4.426
_cell_length_c 13.471
_cell_angle_alpha 90.00
_cell_angle_beta 90.00
_cell_angle_gamma 90.00
_symmetry_space_group_name_H-M 'I 4 m m'
_symmetry_Int_Tables_number 107
_symmetry_space_group_name_Hall 'I 4 -2'
loop_
_atom_site_label
_atom_site_fract_x
_atom_site_fract_y
_atom_site_fract_z
Na1 0.000 0.000 0.000
Na2 0.000 0.000 0.337
Na3 0.000 0.500 0.178
Cl1 0.000 0.000 0.528
O1 0.000 0.000 0.173
F1 0.000 0.000 0.830



Entry 2:
# Sm4HgIr, relaxed, DFT GGA-PBE
# **V**: 31.62 A^3/atom
# **Formation enthalpy at 0 K**: -0.35 eV/atom
# **Uncorrected energy**: -60.3 eV/cell
data_Sm4HgIr
_cell_length_a 7.449
_cell_length_b 7.165
_cell_length_c 7.117
_cell_angle_alpha 90.00
_cell_angle_beta 92.96
_cell_angle_gamma 90.00
_symmetry_space_group_name_H-M 'P 1 21/c 1'
_symmetry_Int_Tables_number 14
loop_
_symmetry_equiv_pos_as_xyz
'x,y,z'
'-x,-y,-z'
'-x,y+1/2,-z+1/2'
'x,-y+1/2,z+1/2'
loop_
_atom_site_label
_atom_site_fract_x
_atom_site_fract_y
_atom_site_fract_z
Sm1 0.143 0.158 0.176
Sm2 0.320 0.647 0.129
Hg1 0.500 0.000 0.000
Ir1 0.000 0.000 0.500



> Among the records above, which one has the lowest V?

Na4ClOF